Entry from Alexandria via LeMat-Bulk: crystalline AlZnAu2 at its relaxed geometry (PBE).

Values from the calculation:
* E_tot: -11.8 eV per formula unit
* ΔE_f: -0.07 eV/atom

```
data_AlZnAu2
_space_group_name_H-M_alt 'F -4 3 m'
_space_group_IT_number 216
_space_group_name_Hall 'F -4 2 3'
_cell_length_a 6.451
_cell_length_b 6.451
_cell_length_c 6.451
_cell_angle_alpha 90.00
_cell_angle_beta 90.00
_cell_angle_gamma 90.00
loop_
_atom_site_label
_atom_site_type_symbol
_atom_site_fract_x
_atom_site_fract_y
_atom_site_fract_z
Al1 Al 0.000 0.000 0.000
Zn1 Zn 0.250 0.250 0.250
Au1 Au 0.000 0.000 0.500
Au2 Au 0.250 0.250 0.750
```